[1]
Here is crystalline YTlHg at its relaxed geometry from Alexandria via LeMat-Bulk. Energies are from GGA-PBE.

POSCAR file:
```
YTlHg
1.0
-3.6105 -1.4352 -3.6095
2.6576 -3.7036 2.7101
-4.5270 0.0504 4.5081
Y Tl Hg
2 2 2
Cartesian
-2.8270 -2.9096 3.9846
-2.6529 -2.1787 -0.3760
-0.5635 -2.9348 1.7306
-4.9164 -2.1535 1.8781
0.0000 0.0000 0.0000
-2.2635 0.0252 2.2540
```

Properties
DOS(E_F): 3.3 states/eV per cell
ΔH_f (0 K): -0.2691 eV per atom

---

[2]
Here is crystalline Y2TlHg4 at its relaxed geometry from Alexandria via LeMat-Bulk. Energies are from GGA-PBE.

POSCAR file:
```
Y2TlHg4
1.0
5.0202 0.0000 1.5684
2.2651 4.4801 1.5684
0.2306 0.1418 8.0804
Y Tl Hg
2 1 4
Cartesian
5.4456 3.3488 9.0252
2.0703 1.2731 2.1920
0.0000 0.0000 0.0000
6.3590 3.9105 6.1018
1.1569 0.7115 5.1154
4.2560 2.6173 4.0143
3.2598 2.0047 7.2030
```

Properties
DOS(E_F): 3.5 states/eV per cell
ΔH_f (0 K): -0.2827 eV per atom

---

[3]
Here is crystalline YTl2Hg2 at its relaxed geometry from Alexandria via LeMat-Bulk. Energies are from GGA-PBE.

POSCAR file:
```
YTl2Hg2
1.0
4.1035 0.0000 0.0000
0.0000 4.1035 0.0000
2.0518 2.0518 8.4755
Y Tl Hg
1 2 2
Cartesian
0.0000 0.0000 0.0000
2.0518 2.0518 1.6925
4.1035 4.1035 6.7829
4.1035 2.0518 4.2377
2.0518 4.1035 4.2377
```

Properties
DOS(E_F): 2.8 states/eV per cell
ΔH_f (0 K): 0.0336 eV per atom

---

[4]
Here is crystalline Y4Tl3Hg at its relaxed geometry from Alexandria via LeMat-Bulk. Energies are from GGA-PBE.

POSCAR file:
```
Y4Tl3Hg
1.0
-0.0977 1.3038 -3.5454
1.1296 -3.3742 -1.2720
-14.4875 -4.3916 -1.2157
Y Tl Hg
4 3 1
Cartesian
-12.7674 -3.8702 -1.0713
-1.7201 -0.5214 -0.1443
-5.3948 -1.6353 -0.4527
-9.0926 -2.7563 -0.7630
-3.0361 -2.1119 -2.7067
-6.7278 -3.2310 -3.0165
-10.4195 -4.3501 -3.3263
0.5159 -1.0352 -2.4087
```

Properties
DOS(E_F): 7.8 states/eV per cell
ΔH_f (0 K): -0.4128 eV per atom

---

[5]
Here is crystalline YTlHg at its relaxed geometry from Alexandria via LeMat-Bulk. Energies are from GGA-PBE.

POSCAR file:
```
YTlHg
1.0
-0.9184 2.8038 4.1184
-3.7075 -1.7003 0.3307
3.3958 -6.9508 2.3292
Y Tl Hg
2 2 2
Cartesian
-1.9603 -0.0324 4.8849
0.8329 -6.3801 3.5640
-0.5633 -3.2079 4.2223
1.7499 -3.7599 1.9970
0.2372 -0.3660 2.4913
2.3422 -4.3461 5.6275
```

Properties
DOS(E_F): 4.3 states/eV per cell
ΔH_f (0 K): -0.3312 eV per atom

---

[6]
Here is crystalline YTlHg at its relaxed geometry from Alexandria via LeMat-Bulk. Energies are from GGA-PBE.

POSCAR file:
```
YTlHg
1.0
-3.8248 -0.4259 -0.0488
2.2629 -2.7695 -1.4220
0.2447 -2.8862 6.0108
Hg Tl Y
1 1 1
Cartesian
0.0002 -0.0026 0.0055
-1.7168 -2.1355 1.4271
0.3995 -3.9434 3.1075
```

Properties
DOS(E_F): 1.2 states/eV per cell
ΔH_f (0 K): -0.1817 eV per atom

---

[7]
Here is crystalline Y5TlHg6 at its relaxed geometry from Alexandria via LeMat-Bulk. Energies are from GGA-PBE.

POSCAR file:
```
Y5TlHg6
1.0
-3.6738 1.1224 -3.4663
5.1655 3.4772 -4.3486
0.7104 -9.1085 0.1931
Y Tl Hg
5 1 6
Cartesian
-1.4087 -1.4392 -2.8237
0.9461 -4.4230 -2.4130
2.5828 1.7386 -2.1743
1.2561 -0.0859 -5.2088
3.6109 -3.0697 -4.7982
0.0000 0.0000 0.0000
0.3335 -3.0516 -5.1838
-2.1120 -4.6980 -3.1251
2.6153 -6.0282 -4.6902
-0.4132 1.5193 -2.9316
4.3141 0.1892 -4.4967
1.8687 -1.4573 -2.4380
```

Properties
DOS(E_F): 8.9 states/eV per cell
ΔH_f (0 K): -0.4451 eV per atom

---

[8]
Here is crystalline YTlHg at its relaxed geometry from Alexandria via LeMat-Bulk. Energies are from GGA-PBE.

POSCAR file:
```
YTlHg
1.0
-0.1361 -3.6163 0.9678
2.9116 0.9336 3.8647
-4.0241 2.5093 8.6667
Y Tl Hg
2 2 2
Cartesian
0.6045 0.1396 2.1242
-1.8780 1.5005 6.7852
1.0124 0.4859 8.0013
0.4890 -1.5299 5.7396
-1.3432 0.2153 9.8220
-1.1786 1.2514 12.5868
```

Properties
DOS(E_F): 3.7 states/eV per cell
ΔH_f (0 K): -0.3176 eV per atom

---

Among the records above, which one has the highest ΔH_f (0 K)? YTl2Hg2